# LaCrWC3

An optimized crystal structure of LaCrWC3 (PBE-GGA, the Alexandria database). Values from VASP.

Results
Crystal system = monoclinic
Symmetry = P2_1/m, No. 11
E_form = 11 kJ/mol of atoms
VASP energy = -9.085 eV/atom
ρ = 7.981 g/cm3
V = 85.5 Å³/f.u.
Total magnetization = 0.00 μB per formula unit

Quantum ESPRESSO input file:
```
&SYSTEM
  ibrav = 0, nat = 12, ntyp = 4
/
ATOMIC_SPECIES
La 138.91 La.upf
Cr 52.00 Cr.upf
W 183.84 W.upf
C 12.01 C.upf
CELL_PARAMETERS angstrom
7.085 0.000 0.000
0.000 3.329 0.000
-2.354 0.000 7.248
ATOMIC_POSITIONS angstrom
La 0.937 0.832 1.532
La 3.795 2.496 5.716
Cr -0.725 0.832 4.436
Cr 5.456 2.496 2.812
W 0.459 2.496 6.284
W 4.272 0.832 0.964
C -1.126 0.832 6.227
C 0.009 2.496 3.917
C 2.888 2.496 1.123
C 1.843 0.832 6.124
C 4.723 0.832 3.331
C 5.858 2.496 1.020
```


# LaZnCrC2

An optimized crystal structure of LaZnCrC2 (PBE-GGA, the Alexandria database). Values from VASP.

Results
Crystal system = tetragonal
Symmetry = P4/mmm, No. 123
E_form = 54 kJ/mol of atoms
VASP energy = -6.293 eV/atom
ρ = 6.442 g/cm3
V = 72.3 Å³/f.u.
Total magnetization = 0.00 μB per formula unit

Quantum ESPRESSO input file:
```
&SYSTEM
  ibrav = 0, nat = 5, ntyp = 4
/
ATOMIC_SPECIES
La 138.91 La.upf
Zn 65.41 Zn.upf
Cr 52.00 Cr.upf
C 12.01 C.upf
CELL_PARAMETERS angstrom
4.011 0.000 0.000
0.000 4.011 0.000
0.000 0.000 4.492
ATOMIC_POSITIONS angstrom
La 0.000 0.000 0.000
Zn 2.005 2.005 0.000
Cr 2.005 2.005 2.246
C 0.000 2.005 2.246
C 2.005 0.000 2.246
```


# La2ZnCrC

An optimized crystal structure of La2ZnCrC (PBE-GGA, the Alexandria database). Values from VASP.

Results
Crystal system = tetragonal
Symmetry = P4/mmm, No. 123
E_form = -11 kJ/mol of atoms
VASP energy = -6.107 eV/atom
ρ = 6.023 g/cm3
V = 112.3 Å³/f.u.
Total magnetization = 2.21 μB per formula unit

Quantum ESPRESSO input file:
```
&SYSTEM
  ibrav = 0, nat = 5, ntyp = 4
/
ATOMIC_SPECIES
La 138.91 La.upf
Zn 65.41 Zn.upf
Cr 52.00 Cr.upf
C 12.01 C.upf
CELL_PARAMETERS angstrom
5.369 0.000 0.000
0.000 5.369 0.000
0.000 0.000 3.895
ATOMIC_POSITIONS angstrom
La 0.000 2.684 0.000
La 2.684 0.000 0.000
Zn 0.000 0.000 1.948
Cr 2.684 2.684 1.948
C 2.684 2.684 0.000
```


Question: Number 1 is which compound?
Answer: LaCrWC3


Question: Which value of V does entry 2 give?
Answer: 72.3 Å³/f.u.


Question: What is the VASP energy in the second record?
Answer: -6.293 eV/atom